SmInH GGA-PBE relaxed; space group = I4mm, No. 107; E above lowest polymorph = 0.331 eV/atom
1.0
-2.3605 1.4760 -1.6783
-2.2243 -1.7895 1.5546
1.8963 4.2932 4.2567
H In Sm
1 1 1
direct
0.0683 0.0683 0.1367
0.3273 0.3273 0.6547
0.6043 0.6043 0.2087



Sm2InH GGA-PBE relaxed; space group = Pmmm, No. 47; E above lowest polymorph = 0.045 eV/atom
1.0
3.6942 0.0000 0.0000
0.0000 7.6179 0.0000
0.0000 0.0000 6.8307
H Sm In
2 4 2
direct
0.5000 0.4999 0.7500
0.5000 0.5001 0.2500
0.5000 0.7242 0.0000
0.5000 0.2758 0.5000
0.5000 0.2758 0.0000
0.5000 0.7242 0.5000
0.0000 0.0001 0.7500
0.0000 0.9999 0.2500



Sm2InH GGA-PBE relaxed; space group = R-3m, No. 166; E above lowest polymorph = 0.000 eV/atom
1.0
-1.3222 -0.9322 3.3066
1.9449 -2.2188 2.2012
3.7691 5.2453 5.0351
In H Sm
1 1 2
direct
0.0000 0.0000 0.0000
0.5000 0.5000 0.5000
0.7736 0.7736 0.6791
0.2264 0.2264 0.3209



Which value of E above lowest polymorph does entry 3 give?
0.000 eV/atom